1.
7
Lattice="2.220 1.282 7.238 -2.220 1.282 7.238 0.000 -2.564 7.238" Properties=species:S:1:pos:R:3 comment="LiSn2Pd4 PBE relaxed" sg=R-3m formation_energy_ev_per_atom=-0.52 e_above_lowest_polymorph_ev_per_atom=0.000 dos_at_fermi_per_ev_fu=4.1 pbc="T T T"
Li 0.000 0.000 0.000
Sn 0.000 0.000 5.408
Sn 0.000 0.000 16.308
Pd 0.000 0.000 2.714
Pd 0.000 0.000 8.158
Pd 0.000 0.000 13.557
Pd 0.000 0.000 19.002

---

2.
19
Lattice="6.798 -4.347 0.000 6.798 4.347 0.000 -1.093 0.000 5.012" Properties=species:S:1:pos:R:3 comment="Li5Sn2Pd12 PBE relaxed" sg=C2/m formation_energy_ev_per_atom=-0.41 dos_at_fermi_per_ev_fu=7.1 pbc="T T T"
Li 0.000 0.000 0.000
Li 1.885 0.000 4.891
Li 3.994 0.000 3.130
Li 8.510 0.000 1.882
Li 10.619 0.000 0.120
Sn 6.252 2.430 2.506
Sn 6.252 -2.430 2.506
Pd 3.765 1.960 1.477
Pd 1.467 0.000 2.196
Pd 4.461 2.117 4.443
Pd 8.043 2.117 0.569
Pd 5.889 0.000 1.112
Pd 8.739 1.960 3.535
Pd 3.765 -1.960 1.477
Pd 6.615 0.000 3.899
Pd 4.461 -2.117 4.443
Pd 8.043 -2.117 0.569
Pd 11.037 0.000 2.816
Pd 8.739 -1.960 3.535

---

Question: What is the formula in the second record?
Answer: Li5Sn2Pd12